A plane-wave DFT calculation with GGA-PBE was carried out for an optimized crystal structure of AlCdGa.

Cell lengths 4.148, 4.148, 6.989 Å; angles 90.00, 90.00, 90.00 degrees
Fractional positions:
Al 0.250 0.750 0.000
Al 0.750 0.250 0.000
Cd 0.250 0.250 0.359
Cd 0.750 0.750 0.641
Ga 0.250 0.250 0.753
Ga 0.750 0.750 0.247

Properties
Its total energy is -15.018 eV per cell. The calculation puts the relative energy among the computed polymorphs at 1.1 kJ/mol of formula units. The density of states at the Fermi level comes out at 1.16 states/eV/f.u. As for the total moment: 0.00 μB/atom. Its formation energy is 0.058 eV/atom.